(1)
# PBE KTcNiB2, relaxed
# crystal system = tetragonal
# volume = 79 Å³/cell
# ΔH_f (0 K) = 7.2 eV/f.u.
# Fermi-level density of states = 3.048 states/eV/f.u.
# E = -4.685 eV/atom
data_KTcNiB2
_chemical_formula_sum 'K1 Tc1 Ni1 B2'
_cell_length_a 3.982
_cell_length_b 4.974
_cell_length_c 3.982
_cell_angle_alpha 90.00
_cell_angle_beta 90.00
_cell_angle_gamma 90.00
_symmetry_space_group_name_H-M 'P 1'
_symmetry_Int_Tables_number 1
_symmetry_space_group_name_Hall 'P 1'
loop_
_atom_site_label
_atom_site_fract_x
_atom_site_fract_y
_atom_site_fract_z
_atom_site_occupancy
Ni1 0.000 0.000 0.000 1
B1 0.500 0.000 0.000 1
B2 0.000 0.000 0.500 1
Tc1 0.000 0.500 0.000 1
K1 0.500 0.500 0.500 1

(2)
# PBE KNi2BW, relaxed
# crystal system = tetragonal
# volume = 74 Å³/cell
# ΔH_f (0 K) = 4.9 eV/f.u.
# Fermi-level density of states = 7.257 states/eV/f.u.
# E = -5.487 eV/atom
data_KNi2BW
_chemical_formula_sum 'K1 Ni2 B1 W1'
_cell_length_a 4.182
_cell_length_b 4.250
_cell_length_c 4.182
_cell_angle_alpha 90.00
_cell_angle_beta 90.00
_cell_angle_gamma 90.00
_symmetry_space_group_name_H-M 'P 1'
_symmetry_Int_Tables_number 1
_symmetry_space_group_name_Hall 'P 1'
loop_
_atom_site_label
_atom_site_fract_x
_atom_site_fract_y
_atom_site_fract_z
_atom_site_occupancy
W1 0.000 0.500 0.000 1
Ni1 0.000 0.000 0.500 1
Ni2 0.500 0.000 0.000 1
B1 0.000 0.000 0.000 1
K1 0.500 0.500 0.500 1

(3)
# PBE KNpB12, relaxed
# crystal system = cubic
# volume = 143 Å³/cell
# ΔH_f (0 K) = -2.9 eV/f.u.
# Fermi-level density of states = 7.868 states/eV/f.u.
# E = -6.934 eV/atom
data_KNpB12
_chemical_formula_sum 'K1 Np1 B12'
_cell_length_a 5.866
_cell_length_b 5.866
_cell_length_c 5.866
_cell_angle_alpha 60.00
_cell_angle_beta 60.00
_cell_angle_gamma 60.00
_symmetry_space_group_name_H-M 'P 1'
_symmetry_Int_Tables_number 1
_symmetry_space_group_name_Hall 'P 1'
loop_
_atom_site_label
_atom_site_fract_x
_atom_site_fract_y
_atom_site_fract_z
_atom_site_occupancy
B1 0.900 0.600 0.900 1
B2 0.100 0.400 0.100 1
B3 0.600 0.900 0.900 1
B4 0.100 0.100 0.400 1
B5 0.900 0.900 0.600 1
B6 0.600 0.600 0.900 1
B7 0.100 0.400 0.400 1
B8 0.400 0.400 0.100 1
B9 0.400 0.100 0.400 1
B10 0.900 0.600 0.600 1
B11 0.400 0.100 0.100 1
B12 0.600 0.900 0.600 1
Np1 0.500 0.500 0.500 1
K1 0.000 0.000 0.000 1

(4)
# PBE K3NpB2O6, relaxed
# crystal system = trigonal
# uncorrected formation energy = -27.13 eV per formula unit
# volume = 196 Å³/cell
# Fermi-level density of states = 10.540 states/eV/f.u.
# E = -7.205 eV/atom
data_K3NpB2O6
_chemical_formula_sum 'K3 Np1 B2 O6'
_cell_length_a 5.644
_cell_length_b 5.644
_cell_length_c 7.095
_cell_angle_alpha 90.00
_cell_angle_beta 90.00
_cell_angle_gamma 120.00
_symmetry_space_group_name_H-M 'P 1'
_symmetry_Int_Tables_number 1
_symmetry_space_group_name_Hall 'P 1'
loop_
_atom_site_label
_atom_site_fract_x
_atom_site_fract_y
_atom_site_fract_z
_atom_site_occupancy
O1 0.619 0.809 0.297 1
O2 0.381 0.191 0.703 1
O3 0.191 0.809 0.297 1
O4 0.809 0.619 0.703 1
O5 0.191 0.381 0.297 1
O6 0.809 0.191 0.703 1
K1 0.667 0.333 0.256 1
K2 0.333 0.667 0.744 1
K3 0.000 0.000 0.000 1
B1 0.333 0.667 0.296 1
B2 0.667 0.333 0.704 1
Np1 0.000 0.000 0.500 1

(5)
# PBE KNpB2O8, relaxed
# crystal system = monoclinic
# uncorrected formation energy = -24.97 eV per formula unit
# volume = 162 Å³/cell
# Fermi-level density of states = 5.919 states/eV/f.u.
# E = -7.669 eV/atom
data_KNpB2O8
_chemical_formula_sum 'K1 Np1 B2 O8'
_cell_length_a 5.113
_cell_length_b 5.113
_cell_length_c 7.560
_cell_angle_alpha 70.68
_cell_angle_beta 70.68
_cell_angle_gamma 63.01
_symmetry_space_group_name_H-M 'P 1'
_symmetry_Int_Tables_number 1
_symmetry_space_group_name_Hall 'P 1'
loop_
_atom_site_label
_atom_site_fract_x
_atom_site_fract_y
_atom_site_fract_z
_atom_site_occupancy
O1 0.248 0.248 0.901 1
O2 0.265 0.719 0.197 1
O3 0.735 0.281 0.803 1
O4 0.719 0.265 0.197 1
O5 0.752 0.752 0.099 1
O6 0.281 0.735 0.803 1
O7 0.583 0.583 0.423 1
O8 0.417 0.417 0.577 1
K1 0.000 0.000 0.500 1
Np1 0.000 0.000 0.000 1
B1 0.574 0.574 0.225 1
B2 0.426 0.426 0.775 1

(6)
# PBE KNpB2O6, relaxed
# crystal system = monoclinic
# uncorrected formation energy = -25.39 eV per formula unit
# volume = 293 Å³/cell
# Fermi-level density of states = 6.848 states/eV/f.u.
# E = -8.253 eV/atom
data_KNpB2O6
_chemical_formula_sum 'K2 Np2 B4 O12'
_cell_length_a 6.641
_cell_length_b 6.641
_cell_length_c 6.983
_cell_angle_alpha 101.30
_cell_angle_beta 101.30
_cell_angle_gamma 95.45
_symmetry_space_group_name_H-M 'P 1'
_symmetry_Int_Tables_number 1
_symmetry_space_group_name_Hall 'P 1'
loop_
_atom_site_label
_atom_site_fract_x
_atom_site_fract_y
_atom_site_fract_z
_atom_site_occupancy
O1 0.996 0.300 0.199 1
O2 0.583 0.221 0.933 1
O3 0.640 0.705 0.740 1
O4 0.779 0.417 0.567 1
O5 0.417 0.779 0.067 1
O6 0.221 0.583 0.433 1
O7 0.004 0.700 0.801 1
O8 0.360 0.295 0.260 1
O9 0.705 0.640 0.240 1
O10 0.300 0.996 0.699 1
O11 0.700 0.004 0.301 1
O12 0.295 0.360 0.760 1
B1 0.807 0.606 0.702 1
B2 0.394 0.193 0.798 1
B3 0.193 0.394 0.298 1
B4 0.606 0.807 0.202 1
K1 0.104 0.896 0.250 1
K2 0.896 0.104 0.750 1
Np1 0.681 0.319 0.250 1
Np2 0.319 0.681 0.750 1